Density functional theory data (GGA-PBE) for a geometry-optimized HfSc2Fe structure.

```
8
Lattice="7.667 0.000 0.000 0.000 7.667 0.000 3.833 3.833 2.755" Properties=species:S:1:pos:R:3 pbc="T T T"
Sc 5.205 1.917 0.689
Sc 2.462 5.750 0.689
Sc 5.750 6.295 2.066
Sc 9.583 9.038 2.066
Hf 0.000 0.000 0.000
Hf 7.667 3.833 1.377
Fe 3.833 3.833 0.000
Fe 3.833 7.667 1.377
```

Calculated values
Space-group type   I-42d, No. 122
Size of the total moment   0.001 μB/cell
Energy relative to the elements   1.21 eV/f.u.
E_tot   -7.468 eV per atom